Compound: Pu2NpPaN4
Source: Alexandria via LeMat-Bulk
Functional: PBE
Structure: optimized geometry

Computed properties:
Crystal system: monoclinic
DOS at the Fermi energy in states/eV per atom: 1.9024
V in Å³/f.u.: 119.63
Mass density in Mg/m³: 14.0
Raw formation energy in eV/atom: -1.315

```
data_Pu2NpPaN4
_cell_length_a 6.036
_cell_length_b 3.486
_cell_length_c 6.037
_cell_angle_alpha 90.00
_cell_angle_beta 109.65
_cell_angle_gamma 90.00
_space_group_name_H-M_alt 'P 1 2/m 1'
_space_group_IT_number 10
_space_group_name_Hall '-P 2y'
loop_
_atom_site_label
_atom_site_type_symbol
_atom_site_fract_x
_atom_site_fract_y
_atom_site_fract_z
Pu1 Pu 0.000 0.000 0.000
Pu2 Pu 0.000 0.500 0.500
Np1 Np 0.500 0.000 0.500
Pa1 Pa 0.500 0.500 0.000
N1 N 0.258 0.000 0.752
N2 N 0.258 0.500 0.255
```

=====

Compound: Rb4NpPa3N8
Source: Alexandria via LeMat-Bulk
Functional: PBE
Structure: optimized geometry

Computed properties:
Crystal system: trigonal
DOS at the Fermi energy in states/eV per atom: 0.4632
V in Å³/f.u.: 303.49
Mass density in Mg/m³: 7.6
Raw formation energy in eV/atom: -1.033

```
data_Rb4NpPa3N8
_cell_length_a 7.2177
_cell_length_b 7.2177
_cell_length_c 20.1797
_cell_angle_alpha 90.00
_cell_angle_beta 90.00
_cell_angle_gamma 120.00
_space_group_name_H-M_alt 'R -3 m'
_space_group_IT_number 166
_space_group_name_Hall '-R 3 2"'
loop_
_atom_site_label
_atom_site_type_symbol
_atom_site_fract_x
_atom_site_fract_y
_atom_site_fract_z
Rb1 Rb 0.0000 0.0000 0.0000
Rb2 Rb 0.0000 0.5000 0.0000
Np1 Np 0.0000 0.0000 0.5000
Pa1 Pa 0.0000 0.5000 0.5000
N1 N 0.0000 0.0000 0.2169
N2 N 0.0049 0.5024 0.2166
```

=====

Compound: Rb2NpPaN4
Source: Alexandria via LeMat-Bulk
Functional: PBE
Structure: optimized geometry

Computed properties:
Crystal system: monoclinic
DOS at the Fermi energy in states/eV per atom: 0.6996
V in Å³/f.u.: 149.60
Mass density in Mg/m³: 7.7
Raw formation energy in eV/atom: -0.923

```
data_Rb2NpPaN4
_cell_length_a 6.182
_cell_length_b 3.604
_cell_length_c 7.010
_cell_angle_alpha 90.00
_cell_angle_beta 106.69
_cell_angle_gamma 90.00
_space_group_name_H-M_alt 'P 1 2/m 1'
_space_group_IT_number 10
_space_group_name_Hall '-P 2y'
loop_
_atom_site_label
_atom_site_type_symbol
_atom_site_fract_x
_atom_site_fract_y
_atom_site_fract_z
Rb1 Rb 0.000 0.000 0.000
Rb2 Rb 0.500 0.500 0.000
Np1 Np 0.000 0.500 0.500
Pa1 Pa 0.500 0.000 0.500
N1 N 0.216 0.000 0.650
N2 N 0.274 0.500 0.350
```

=====

Compound: NpPa2ReN5
Source: Alexandria via LeMat-Bulk
Functional: PBE
Structure: optimized geometry

Computed properties:
Crystal system: tetragonal
DOS at the Fermi energy in states/eV per atom: 1.2642
V in Å³/f.u.: 122.97
Mass density in Mg/m³: 12.9
Raw formation energy in eV/atom: -1.000

```
data_NpPa2ReN5
_cell_length_a 6.522
_cell_length_b 6.522
_cell_length_c 11.563
_cell_angle_alpha 90.00
_cell_angle_beta 90.00
_cell_angle_gamma 90.00
_space_group_name_H-M_alt 'I 4/m c m'
_space_group_IT_number 140
_space_group_name_Hall '-I 4 2c'
loop_
_atom_site_label
_atom_site_type_symbol
_atom_site_fract_x
_atom_site_fract_y
_atom_site_fract_z
Np1 Np 0.000 0.000 0.250
Pa1 Pa 0.174 0.326 0.000
Re1 Re 0.000 0.500 0.250
N1 N 0.000 0.000 0.000
N2 N 0.155 0.345 0.364
```

=====

Compound: Np2PaRhN4
Source: Alexandria via LeMat-Bulk
Functional: PBE
Structure: optimized geometry

Computed properties:
Crystal system: orthorhombic
DOS at the Fermi energy in states/eV per atom: 1.2362
V in Å³/f.u.: 112.18
Mass density in Mg/m³: 12.8
Raw formation energy in eV/atom: -0.965

```
data_Np2PaRhN4
_cell_length_a 3.388
_cell_length_b 11.501
_cell_length_c 11.514
_cell_angle_alpha 90.00
_cell_angle_beta 90.00
_cell_angle_gamma 90.00
_space_group_name_H-M_alt 'C m c m'
_space_group_IT_number 63
_space_group_name_Hall '-C 2c 2'
loop_
_atom_site_label
_atom_site_type_symbol
_atom_site_fract_x
_atom_site_fract_y
_atom_site_fract_z
Np1 Np 0.000 0.128 0.058
Pa1 Pa 0.000 0.385 0.250
Rh1 Rh 0.000 0.346 0.750
N1 N 0.000 0.018 0.250
N2 N 0.000 0.216 0.616
N3 N 0.000 0.500 0.000
```

=====

Compound: NpPa2RuN4
Source: Alexandria via LeMat-Bulk
Functional: PBE
Structure: optimized geometry

Computed properties:
Crystal system: orthorhombic
DOS at the Fermi energy in states/eV per atom: 1.3748
V in Å³/f.u.: 115.13
Mass density in Mg/m³: 12.3
Raw formation energy in eV/atom: -1.080

```
data_NpPa2RuN4
_cell_length_a 3.377
_cell_length_b 11.732
_cell_length_c 11.623
_cell_angle_alpha 90.00
_cell_angle_beta 90.00
_cell_angle_gamma 90.00
_space_group_name_H-M_alt 'C m c m'
_space_group_IT_number 63
_space_group_name_Hall '-C 2c 2'
loop_
_atom_site_label
_atom_site_type_symbol
_atom_site_fract_x
_atom_site_fract_y
_atom_site_fract_z
Np1 Np 0.000 0.112 0.250
Pa1 Pa 0.000 0.369 0.058
Ru1 Ru 0.000 0.152 0.750
N1 N 0.000 0.000 0.000
N2 N 0.000 0.279 0.618
N3 N 0.000 0.464 0.250
```

=====

Compound: NpPa2RuN5
Source: Alexandria via LeMat-Bulk
Functional: PBE
Structure: optimized geometry

Computed properties:
Crystal system: orthorhombic
DOS at the Fermi energy in states/eV per atom: 0.9338
V in Å³/f.u.: 116.38
Mass density in Mg/m³: 12.4
Raw formation energy in eV/atom: -1.071

```
data_NpPa2RuN5
_cell_length_a 3.362
_cell_length_b 13.293
_cell_length_c 10.418
_cell_angle_alpha 90.00
_cell_angle_beta 90.00
_cell_angle_gamma 90.00
_space_group_name_H-M_alt 'C m c 21'
_space_group_IT_number 36
_space_group_name_Hall 'C 2c -2'
loop_
_atom_site_label
_atom_site_type_symbol
_atom_site_fract_x
_atom_site_fract_y
_atom_site_fract_z
Np1 Np 0.000 0.204 0.000
Pa1 Pa 0.000 0.100 0.681
Pa2 Pa 0.000 0.148 0.297
Ru1 Ru 0.000 0.476 0.450
N1 N 0.000 0.051 0.069
N2 N 0.000 0.276 0.657
N3 N 0.000 0.333 0.347
N4 N 0.000 0.370 0.001
N5 N 0.000 0.476 0.768
```

=====

Compound: NpPaSbN2
Source: Alexandria via LeMat-Bulk
Functional: PBE
Structure: optimized geometry

Computed properties:
Crystal system: tetragonal
DOS at the Fermi energy in states/eV per atom: 2.0617
V in Å³/f.u.: 95.07
Mass density in Mg/m³: 10.8
Raw formation energy in eV/atom: -1.259

```
data_NpPaSbN2
_cell_length_a 3.913
_cell_length_b 3.913
_cell_length_c 12.417
_cell_angle_alpha 90.00
_cell_angle_beta 90.00
_cell_angle_gamma 90.00
_space_group_name_H-M_alt 'I 4 m m'
_space_group_IT_number 107
_space_group_name_Hall 'I 4 -2'
loop_
_atom_site_label
_atom_site_type_symbol
_atom_site_fract_x
_atom_site_fract_y
_atom_site_fract_z
Np1 Np 0.000 0.000 0.000
Pa1 Pa 0.000 0.000 0.316
Sb1 Sb 0.000 0.000 0.657
N1 N 0.000 0.500 0.406
```

=====

Compound: NpSc2PaN4
Source: Alexandria via LeMat-Bulk
Functional: PBE
Structure: optimized geometry

Computed properties:
Crystal system: monoclinic
DOS at the Fermi energy in states/eV per atom: 1.0385
V in Å³/f.u.: 106.12
Mass density in Mg/m³: 9.6
Raw formation energy in eV/atom: -1.578

```
data_NpSc2PaN4
_cell_length_a 5.770
_cell_length_b 3.326
_cell_length_c 5.855
_cell_angle_alpha 90.00
_cell_angle_beta 109.22
_cell_angle_gamma 90.00
_space_group_name_H-M_alt 'P 1 2/m 1'
_space_group_IT_number 10
_space_group_name_Hall '-P 2y'
loop_
_atom_site_label
_atom_site_type_symbol
_atom_site_fract_x
_atom_site_fract_y
_atom_site_fract_z
Np1 Np 0.000 0.000 0.000
Sc1 Sc 0.000 0.500 0.500
Sc2 Sc 0.500 0.000 0.500
Pa1 Pa 0.500 0.500 0.000
N1 N 0.246 0.000 0.734
N2 N 0.255 0.500 0.263
```

=====

Compound: SmNpPa2N6
Source: Alexandria via LeMat-Bulk
Functional: PBE
Structure: optimized geometry

Computed properties:
Crystal system: trigonal
DOS at the Fermi energy in states/eV per atom: 0.7906
V in Å³/f.u.: 154.24
Mass density in Mg/m³: 10.0
Raw formation energy in eV/atom: -1.397

```
data_SmNpPa2N6
_cell_length_a 6.0005
_cell_length_b 6.0005
_cell_length_c 14.8395
_cell_angle_alpha 90.00
_cell_angle_beta 90.00
_cell_angle_gamma 120.00
_space_group_name_H-M_alt 'R 3'
_space_group_IT_number 146
_space_group_name_Hall 'R 3'
loop_
_atom_site_label
_atom_site_type_symbol
_atom_site_fract_x
_atom_site_fract_y
_atom_site_fract_z
Sm1 Sm 0.0000 0.0000 0.0000
Np1 Np 0.0000 0.0000 0.4827
Pa1 Pa 0.0000 0.0000 0.2648
Pa2 Pa 0.0000 0.0000 0.7706
N1 N 0.0005 0.2990 0.8698
N2 N 0.0262 0.7416 0.3775
```

=====

Compound: SmNpPa2N4
Source: Alexandria via LeMat-Bulk
Functional: PBE
Structure: optimized geometry

Computed properties:
Crystal system: monoclinic
DOS at the Fermi energy in states/eV per atom: 1.0900
V in Å³/f.u.: 122.77
Mass density in Mg/m³: 12.2
Raw formation energy in eV/atom: -1.468

```
data_SmNpPa2N4
_cell_length_a 6.065
_cell_length_b 3.519
_cell_length_c 6.109
_cell_angle_alpha 90.00
_cell_angle_beta 109.67
_cell_angle_gamma 90.00
_space_group_name_H-M_alt 'P 1 2/m 1'
_space_group_IT_number 10
_space_group_name_Hall '-P 2y'
loop_
_atom_site_label
_atom_site_type_symbol
_atom_site_fract_x
_atom_site_fract_y
_atom_site_fract_z
Sm1 Sm 0.000 0.000 0.000
Np1 Np 0.000 0.500 0.500
Pa1 Pa 0.500 0.000 0.500
Pa2 Pa 0.500 0.500 0.000
N1 N 0.263 0.000 0.751
N2 N 0.269 0.500 0.262
```

=====

Compound: SmNp2PaN4
Source: Alexandria via LeMat-Bulk
Functional: PBE
Structure: optimized geometry

Computed properties:
Crystal system: monoclinic
DOS at the Fermi energy in states/eV per atom: 1.8959
V in Å³/f.u.: 120.72
Mass density in Mg/m³: 12.5
Raw formation energy in eV/atom: -1.321

```
data_SmNp2PaN4
_cell_length_a 6.052
_cell_length_b 3.489
_cell_length_c 6.068
_cell_angle_alpha 90.00
_cell_angle_beta 109.57
_cell_angle_gamma 90.00
_space_group_name_H-M_alt 'P 1 2/m 1'
_space_group_IT_number 10
_space_group_name_Hall '-P 2y'
loop_
_atom_site_label
_atom_site_type_symbol
_atom_site_fract_x
_atom_site_fract_y
_atom_site_fract_z
Sm1 Sm 0.000 0.000 0.000
Np1 Np 0.000 0.500 0.500
Np2 Np 0.500 0.000 0.500
Pa1 Pa 0.500 0.500 0.000
N1 N 0.260 0.000 0.749
N2 N 0.268 0.500 0.265
```